(1)
# PBE-GGA Ba2GePPd6, optimized geometry
data_Ba2GePPd6
_chemical_formula_sum 'Ba4 Ge2 P2 Pd12'
_symmetry_space_group_name_H-M 'P 1'
_symmetry_Int_Tables_number 1
_symmetry_space_group_name_Hall 'P 1'
_cell_length_a 12.531
_cell_length_b 12.531
_cell_length_c 12.531
_cell_angle_alpha 29.57
_cell_angle_beta 29.57
_cell_angle_gamma 29.57
loop_
_atom_site_label
_atom_site_fract_x
_atom_site_fract_y
_atom_site_fract_z
Ba1 0.110 0.110 0.110
Ba2 0.282 0.282 0.282
Ba3 0.718 0.718 0.718
Ba4 0.890 0.890 0.890
Ge1 0.421 0.421 0.421
Ge2 0.579 0.579 0.579
P1 0.000 0.000 0.000
P2 0.500 0.500 0.500
Pd1 0.096 0.654 0.654
Pd2 0.218 0.218 0.654
Pd3 0.218 0.654 0.218
Pd4 0.346 0.346 0.904
Pd5 0.346 0.782 0.782
Pd6 0.346 0.904 0.346
Pd7 0.654 0.096 0.654
Pd8 0.654 0.218 0.218
Pd9 0.654 0.654 0.096
Pd10 0.782 0.346 0.782
Pd11 0.782 0.782 0.346
Pd12 0.904 0.346 0.346
# DFT total energy   -5.082 eV per atom
# Symmetry   R-3m (166)
# ΔH_f (0 K)   -5.79 eV per formula unit
# DOS at the Fermi energy   4.01 states/eV/f.u.

(2)
# PBE-GGA Sc2HgCl, optimized geometry
data_Sc2HgCl
_chemical_formula_sum 'Sc2 Hg1 Cl1'
_symmetry_space_group_name_H-M 'P 1'
_symmetry_Int_Tables_number 1
_symmetry_space_group_name_Hall 'P 1'
_cell_length_a 5.174
_cell_length_b 5.174
_cell_length_c 5.174
_cell_angle_alpha 60.00
_cell_angle_beta 60.00
_cell_angle_gamma 60.00
loop_
_atom_site_label
_atom_site_fract_x
_atom_site_fract_y
_atom_site_fract_z
Sc1 0.000 0.000 0.000
Sc2 0.250 0.250 0.250
Hg1 0.500 0.500 0.500
Cl1 0.750 0.750 0.750
# Energy relative to the lowest polymorph listed for this composition   885 meV per atom
# DFT total energy   -3.611 eV per atom
# Symmetry   F-43m (216)
# Formation energy (no corrections)   92 meV per atom
# DOS at the Fermi energy   6.72 states/eV/f.u.

(3)
# PBE-GGA LiGa4Pd3, optimized geometry
data_LiGa4Pd3
_chemical_formula_sum 'Li2 Ga8 Pd6'
_symmetry_space_group_name_H-M 'P 1'
_symmetry_Int_Tables_number 1
_symmetry_space_group_name_Hall 'P 1'
_cell_length_a 9.096
_cell_length_b 5.529
_cell_length_c 4.826
_cell_angle_alpha 90.00
_cell_angle_beta 90.00
_cell_angle_gamma 90.00
loop_
_atom_site_label
_atom_site_fract_x
_atom_site_fract_y
_atom_site_fract_z
Li1 0.000 0.011 0.000
Li2 0.500 0.989 0.500
Ga1 0.000 0.272 0.478
Ga2 0.000 0.771 0.521
Ga3 0.250 0.337 0.757
Ga4 0.250 0.663 0.257
Ga5 0.500 0.229 0.021
Ga6 0.500 0.728 0.978
Ga7 0.750 0.337 0.757
Ga8 0.750 0.663 0.257
Pd1 0.000 0.510 0.999
Pd2 0.249 0.159 0.258
Pd3 0.251 0.841 0.758
Pd4 0.500 0.490 0.499
Pd5 0.749 0.841 0.758
Pd6 0.751 0.159 0.258
# DFT total energy   -4.226 eV per atom
# Symmetry   Pmn2_1 (31)
# ΔH_f (0 K)   -4.21 eV per formula unit
# DOS at the Fermi energy   1.57 states/eV/f.u.

(4)
# PBE-GGA DyHo2Ga6, optimized geometry
data_DyHo2Ga6
_chemical_formula_sum 'Dy1 Ho2 Ga6'
_symmetry_space_group_name_H-M 'P 1'
_symmetry_Int_Tables_number 1
_symmetry_space_group_name_Hall 'P 1'
_cell_length_a 7.461
_cell_length_b 7.461
_cell_length_c 3.809
_cell_angle_alpha 90.00
_cell_angle_beta 90.00
_cell_angle_gamma 120.00
loop_
_atom_site_label
_atom_site_fract_x
_atom_site_fract_y
_atom_site_fract_z
Dy1 0.000 0.000 0.000
Ho1 0.333 0.667 0.000
Ho2 0.667 0.333 0.000
Ga1 0.000 0.334 0.500
Ga2 0.000 0.666 0.500
Ga3 0.334 0.000 0.500
Ga4 0.334 0.334 0.500
Ga5 0.666 0.000 0.500
Ga6 0.666 0.666 0.500
# Energy relative to the lowest polymorph listed for this composition   0 meV per atom
# DFT total energy   -4.173 eV per atom
# Symmetry   P6/mmm (191)
# ΔH_f (0 K)   -5.64 eV per formula unit
# DOS at the Fermi energy   3.49 states/eV/f.u.

(5)
# PBE-GGA Cr3SnSe, optimized geometry
data_Cr3SnSe
_chemical_formula_sum 'Cr3 Sn1 Se1'
_symmetry_space_group_name_H-M 'P 1'
_symmetry_Int_Tables_number 1
_symmetry_space_group_name_Hall 'P 1'
_cell_length_a 4.808
_cell_length_b 4.808
_cell_length_c 4.808
_cell_angle_alpha 90.00
_cell_angle_beta 90.00
_cell_angle_gamma 90.00
loop_
_atom_site_label
_atom_site_fract_x
_atom_site_fract_y
_atom_site_fract_z
Cr1 0.000 0.000 0.500
Cr2 0.000 0.500 0.000
Cr3 0.500 0.000 0.000
Sn1 0.500 0.500 0.500
Se1 0.000 0.000 0.000
# Energy relative to the lowest polymorph listed for this composition   0 meV per atom
# DFT total energy   -6.714 eV per atom
# Symmetry   Pm-3m (221)
# Formation energy (no corrections)   558 meV per atom
# DOS at the Fermi energy   0.31 states/eV/f.u.

(6)
# PBE-GGA AlSnPdS4, optimized geometry
data_AlSnPdS4
_chemical_formula_sum 'Al2 Sn2 Pd2 S8'
_symmetry_space_group_name_H-M 'P 1'
_symmetry_Int_Tables_number 1
_symmetry_space_group_name_Hall 'P 1'
_cell_length_a 7.352
_cell_length_b 7.352
_cell_length_c 7.352
_cell_angle_alpha 118.75
_cell_angle_beta 117.71
_cell_angle_gamma 93.10
loop_
_atom_site_label
_atom_site_fract_x
_atom_site_fract_y
_atom_site_fract_z
Al1 0.385 0.135 0.250
Al2 0.615 0.865 0.750
Sn1 0.000 0.500 0.500
Sn2 0.500 0.500 0.000
Pd1 0.000 0.000 0.500
Pd2 0.000 0.500 0.000
S1 0.223 0.240 0.982
S2 0.242 0.760 0.482
S3 0.245 0.242 0.498
S4 0.245 0.747 0.002
S5 0.755 0.253 0.998
S6 0.755 0.758 0.502
S7 0.758 0.240 0.518
S8 0.777 0.760 0.018
# DFT total energy   -4.646 eV per atom
# Symmetry   Imma (74)
# Formation energy (no corrections)   -439 meV per atom
# DOS at the Fermi energy   4.35 states/eV/f.u.

(7)
# PBE-GGA CsAsI2, optimized geometry
data_CsAsI2
_chemical_formula_sum 'Cs2 As2 I4'
_symmetry_space_group_name_H-M 'P 1'
_symmetry_Int_Tables_number 1
_symmetry_space_group_name_Hall 'P 1'
_cell_length_a 10.120
_cell_length_b 10.120
_cell_length_c 10.120
_cell_angle_alpha 138.87
_cell_angle_beta 138.87
_cell_angle_gamma 59.57
loop_
_atom_site_label
_atom_site_fract_x
_atom_site_fract_y
_atom_site_fract_z
Cs1 0.000 0.000 0.000
Cs2 0.750 0.250 0.500
As1 0.250 0.750 0.500
As2 0.500 0.500 0.000
I1 0.256 0.625 0.131
I2 0.375 0.506 0.631
I3 0.494 0.125 0.869
I4 0.875 0.744 0.369
# Energy relative to the lowest polymorph listed for this composition   0 meV per atom
# DFT total energy   -2.558 eV per atom
# Symmetry   I-42d (122)
# Formation energy (no corrections)   -407 meV per atom
# DOS at the Fermi energy   0.05 states/eV/f.u.

(8)
# PBE-GGA PuMgAs2, optimized geometry
data_PuMgAs2
_chemical_formula_sum 'Pu1 Mg1 As2'
_symmetry_space_group_name_H-M 'P 1'
_symmetry_Int_Tables_number 1
_symmetry_space_group_name_Hall 'P 1'
_cell_length_a 6.574
_cell_length_b 6.574
_cell_length_c 6.574
_cell_angle_alpha 36.97
_cell_angle_beta 36.97
_cell_angle_gamma 36.97
loop_
_atom_site_label
_atom_site_fract_x
_atom_site_fract_y
_atom_site_fract_z
Pu1 0.000 0.000 0.000
Mg1 0.500 0.500 0.500
As1 0.250 0.250 0.250
As2 0.750 0.750 0.750
# Energy relative to the lowest polymorph listed for this composition   0 meV per atom
# DFT total energy   -7.001 eV per atom
# Symmetry   R-3m (166)
# ΔH_f (0 K)   -2.78 eV per formula unit
# DOS at the Fermi energy   11.43 states/eV/f.u.

(9)
# PBE-GGA SrBeH2, optimized geometry
data_SrBeH2
_chemical_formula_sum 'Sr2 Be2 H4'
_symmetry_space_group_name_H-M 'P 1'
_symmetry_Int_Tables_number 1
_symmetry_space_group_name_Hall 'P 1'
_cell_length_a 6.147
_cell_length_b 6.147
_cell_length_c 6.147
_cell_angle_alpha 137.95
_cell_angle_beta 137.95
_cell_angle_gamma 60.98
loop_
_atom_site_label
_atom_site_fract_x
_atom_site_fract_y
_atom_site_fract_z
Sr1 0.000 0.000 0.000
Sr2 0.750 0.250 0.500
Be1 0.250 0.750 0.500
Be2 0.500 0.500 0.000
H1 0.374 0.625 0.249
H2 0.375 0.624 0.749
H3 0.376 0.125 0.751
H4 0.875 0.626 0.251
# Energy relative to the lowest polymorph listed for this composition   0 meV per atom
# DFT total energy   -2.869 eV per atom
# Symmetry   I-42d (122)
# DOS at the Fermi energy   0.66 states/eV/f.u.

(10)
# PBE-GGA La4Sb3H, optimized geometry
data_La4Sb3H
_chemical_formula_sum 'La8 Sb6 H2'
_symmetry_space_group_name_H-M 'P 1'
_symmetry_Int_Tables_number 1
_symmetry_space_group_name_Hall 'P 1'
_cell_length_a 12.754
_cell_length_b 6.458
_cell_length_c 6.456
_cell_angle_alpha 90.00
_cell_angle_beta 90.00
_cell_angle_gamma 90.00
loop_
_atom_site_label
_atom_site_fract_x
_atom_site_fract_y
_atom_site_fract_z
La1 0.000 0.193 0.000
La2 0.000 0.750 0.554
La3 0.247 0.246 0.502
La4 0.253 0.754 0.002
La5 0.500 0.250 0.054
La6 0.500 0.807 0.500
La7 0.747 0.754 0.002
La8 0.753 0.246 0.502
Sb1 0.000 0.249 0.501
Sb2 0.250 0.254 0.003
Sb3 0.250 0.746 0.503
Sb4 0.500 0.751 0.001
Sb5 0.750 0.254 0.003
Sb6 0.750 0.746 0.503
H1 0.000 0.824 0.924
H2 0.500 0.176 0.424
# DFT total energy   -5.379 eV per atom
# Symmetry   Pmn2_1 (31)
# DOS at the Fermi energy   5.52 states/eV/f.u.

Question: The highest DOS at the Fermi energy belongs to which entry?
Answer: PuMgAs2

Question: The highest DOS at the Fermi energy belongs to which entry?
Answer: PuMgAs2